[1]
{"formula": "LaNdYSc", "functional": "PBE-GGA", "state": "optimized geometry", "space_group": "F-43m, No. 216", "polymorph_energy_kj_per_mol_atoms": 0.3, "cell": [[-5.188, -0.821, -2.145], [-0.713, -0.434, -5.611], [-1.356, -5.002, -2.308]], "species": ["Sc", "Y", "La", "Nd"], "fractional_positions": [[0.250, 0.250, 0.250], [0.750, 0.750, 0.750], [0.000, 0.000, 0.000], [0.500, 0.500, 0.500]]}

***

[2]
{"formula": "La5Nd2YSc", "functional": "PBE-GGA", "state": "optimized geometry", "space_group": "Cmc2_1, No. 36", "final_energy_ev_per_fu": -45.984, "cell": [[5.516, 0.000, 0.000], [-2.758, 11.083, 0.000], [0.000, 0.000, 10.403]], "species": ["Y", "La", "La", "La", "Nd", "La", "Nd", "Nd", "La", "La", "La", "Sc", "Sc", "La", "La", "Y", "Nd", "La"], "fractional_positions": [[0.397, 0.794, 0.508], [0.370, 0.740, 0.008], [0.724, 0.448, 0.821], [0.500, 0.000, 0.258], [0.884, 0.769, 0.254], [0.277, 0.554, 0.698], [0.885, 0.770, 0.761], [0.116, 0.231, 0.754], [0.630, 0.260, 0.508], [0.500, 0.000, 0.758], [0.001, 0.002, 0.008], [0.794, 0.589, 0.509], [0.206, 0.411, 0.009], [0.999, 0.998, 0.508], [0.723, 0.446, 0.198], [0.603, 0.206, 0.008], [0.115, 0.230, 0.261], [0.276, 0.552, 0.321]]}

***

[3]
{"formula": "LaNd3YSc", "functional": "PBE-GGA", "state": "optimized geometry", "space_group": "P2_1/m, No. 11", "final_energy_ev_per_fu": -31.732, "cell": [[-3.083, -0.400, -4.093], [-5.146, -4.353, 4.303], [-1.605, 10.647, 0.168]], "species": ["Y", "Y", "Nd", "Nd", "Nd", "Nd", "La", "Nd", "La", "Sc", "Sc", "Nd"], "fractional_positions": [[0.250, 0.627, 0.127], [0.750, 0.373, 0.873], [0.250, 0.126, 0.956], [0.750, 0.874, 0.044], [0.750, 0.381, 0.211], [0.250, 0.619, 0.789], [0.750, 0.879, 0.702], [0.250, 0.636, 0.458], [0.250, 0.121, 0.298], [0.250, 0.123, 0.624], [0.750, 0.877, 0.376], [0.750, 0.364, 0.542]]}

***

[4]
{"formula": "La4NdY2Sc", "functional": "PBE-GGA", "state": "optimized geometry", "space_group": "Pmmm, No. 47", "final_energy_ev_per_fu": -43.041, "cell": [[-2.948, 4.651, 2.230], [-8.218, -5.237, 0.060], [-2.080, -3.422, 4.388]], "species": ["Sc", "Y", "La", "La", "Y", "La", "Nd", "La"], "fractional_positions": [[0.000, 0.500, 0.500], [0.000, 0.000, 0.000], [0.000, 0.743, 0.758], [0.000, 0.257, 0.242], [0.500, 0.000, 0.500], [0.500, 0.740, 0.259], [0.500, 0.500, 0.000], [0.500, 0.260, 0.741]]}

***

[5]
{"formula": "La2NdYSc", "functional": "PBE-GGA", "state": "optimized geometry", "space_group": "Cmcm, No. 63", "final_energy_ev_per_fu": -25.717, "cell": [[7.286, 0.000, 0.000], [0.000, 8.289, 0.000], [0.000, -4.145, 5.826]], "species": ["La", "Sc", "Nd", "La", "Nd", "La", "Y", "Y", "La", "Sc"], "fractional_positions": [[0.500, 0.700, 0.000], [0.250, 0.980, 0.960], [0.750, 0.276, 0.552], [0.500, 0.300, 0.000], [0.250, 0.724, 0.448], [0.000, 0.700, 0.000], [0.250, 0.247, 0.493], [0.750, 0.753, 0.507], [0.000, 0.300, 0.000], [0.750, 0.020, 0.040]]}

***

[6]
{"formula": "LaNd2Y4Sc", "functional": "PBE-GGA", "state": "optimized geometry", "space_group": "P4/mmm, No. 123", "final_energy_ev_per_fu": -45.667, "cell": [[5.858, 0.000, 0.000], [0.000, 9.612, -0.243], [0.000, 3.696, 4.556]], "species": ["La", "Y", "Nd", "Y", "Nd", "Sc", "Y", "Y"], "fractional_positions": [[0.500, 0.500, 0.000], [0.500, 0.744, 0.256], [0.500, 0.000, 0.500], [0.500, 0.256, 0.744], [0.000, 0.000, 0.000], [0.000, 0.500, 0.500], [0.000, 0.744, 0.756], [0.000, 0.256, 0.244]]}

***

no.,D(E_F) (states/eV/atom)
1,1.66
2,1.45
3,1.77
4,1.69
5,1.40
6,2.15